This record from the Open Quantum Materials Database describes Sc2Sb2PdPt after structural relaxation. The functional is GGA-PBE.

Computed properties:
Final energy, eV/atom: -6.47
Size of the total moment, Bohr magnetons per cell: 0.0

Lattice parameters (Å, degrees): 7.8134 4.5109 14.9578 90.00 100.01 90.00
With the nearest neighbours (Å) after each atom.
Element x y z (fractional)
Pt1 0.7493 0.5000 0.7498  4 Sc 2.75-2.76, 4 Sb 2.77-2.78
Pt2 0.4999 0.5000 0.0006  4 Sc 2.75-2.76, 4 Sb 2.76-2.77
Pt3 0.2504 0.5000 0.2494  4 Sc 2.75-2.77, 4 Sb 2.76-2.78
Pt4 0.7491 0.0000 0.2493  4 Sb 2.75-2.78, 4 Sc 2.76-2.77
Sc1 0.9379 0.5000 0.3128  1 Pd 2.76, 3 Pt 2.77
Sc2 0.4373 0.0000 0.3128  3 Pt 2.76, 1 Pd 2.77
Sc3 0.4386 0.5000 0.8130  2 Pt 2.75-2.76, 2 Pd 2.77
Sc4 0.1882 0.5000 0.0626  2 Pt 2.75, 2 Pd 2.76
Sc5 0.6881 0.5000 0.5625  1 Pt 2.76, 3 Pd 2.76
Sc6 0.6867 0.0000 0.0620  3 Pt 2.76, 1 Pd 2.77
Sc7 0.1867 0.0000 0.5622  4 Pd 2.76-2.77
Sc8 0.9363 0.0000 0.8120  2 Pt 2.76, 2 Pd 2.77
Sb1 0.5628 0.5000 0.1877  4 Pt 2.75-2.76
Sb2 0.0621 0.0000 0.1871  1 Pd 2.75, 3 Pt 2.76
Sb3 0.3112 0.0000 0.9370  2 Pd 2.76, 2 Pt 2.77
Sb4 0.8126 0.0000 0.4380  3 Pd 2.76, 1 Pt 2.78
Sb5 0.5612 0.0000 0.6870  2 Pd 2.75, 2 Pt 2.77
Sb6 0.3128 0.5000 0.4382  3 Pd 2.76, 1 Pt 2.78
Sb7 0.0637 0.5000 0.6874  3 Pd 2.76, 1 Pt 2.78
Sb8 0.8138 0.5000 0.9378  2 Pd 2.76, 2 Pt 2.77
Pd1 0.5000 0.0000 0.5007  4 Sb 2.75-2.76, 4 Sc 2.76-2.77
Pd2 0.2505 0.0000 0.7499  4 Sb 2.75-2.76, 4 Sc 2.77
Pd3 0.0003 0.5000 0.5003  4 Sc 2.76, 4 Sb 2.76
Pd4 0.0003 0.0000 0.0001  4 Sb 2.75-2.76, 4 Sc 2.76-2.77